[1]
First-principles (GGA+U) data for a relaxed PuTiMnO6 crystal, as listed in Alexandria.

As for the space group: P-31c, No. 163. The calculation puts the density of states at the Fermi level at 12.39 states/eV/cell. Its crystal system is trigonal. Its total energy is -163.1 eV per cell.

abc: 5.3457 5.3457 9.1524
angles: 90.00 90.00 120.00
Closest atoms and distances in Å follow each position.
Fractional coordinates of all 18 atoms:
O: 0.9875 0.6431 0.3646  1 Ti 1.99, 1 Pu 2.07
O: 0.3569 0.0125 0.1354  1 Ti 1.99, 1 Pu 2.07
O: 0.9875 0.3444 0.1354  1 Ti 1.99, 1 Pu 2.07
O: 0.3569 0.3444 0.3646  1 Ti 1.99, 1 Pu 2.07
Ti: 0.6667 0.3333 0.2500  6 O 1.99
Mn: 0.0000 0.0000 0.5000  6 O 2.25
O: 0.6556 0.0125 0.3646  1 Ti 1.99, 1 Pu 2.07
O: 0.6431 0.9875 0.8646  1 Ti 1.99, 1 Pu 2.07
O: 0.3444 0.9875 0.6354  1 Ti 1.99, 1 Pu 2.07
O: 0.6431 0.6556 0.6354  1 Ti 1.99, 1 Pu 2.07
Ti: 0.3333 0.6667 0.7500  6 O 1.99
Mn: 0.0000 0.0000 0.0000  6 O 2.25
O: 0.3444 0.3569 0.8646  1 Ti 1.99, 1 Pu 2.07
O: 0.6556 0.6431 0.1354  1 Ti 1.99, 1 Pu 2.07
O: 0.0125 0.6556 0.8646  1 Ti 1.99, 1 Pu 2.07
O: 0.0125 0.3569 0.6354  1 Ti 1.99, 1 Pu 2.07
Pu: 0.6667 0.3333 0.7500  6 O 2.07
Pu: 0.3333 0.6667 0.2500  6 O 2.07

---

[2]
First-principles (GGA+U) data for a relaxed Pu3MnTl4O12 crystal, as listed in Alexandria.

As for the space group: Im-3m, No. 229. The calculation puts the density of states at the Fermi level at 4.72 states/eV/cell. Its crystal system is cubic. Its total energy is -157.9 eV per cell.

abc: 7.4268 7.4268 7.4268
angles: 109.47 109.47 109.47
Closest atoms and distances in Å follow each position.
Fractional coordinates of all 20 atoms:
O: 0.0000 0.7306 0.7306  1 Pu 1.98
O: 0.7306 0.7306 0.0000  1 Pu 1.98
Pu: 0.5000 0.0000 0.5000  6 O 1.98-2.14
O: 0.5000 0.2500 0.7500  2 Pu 2.14
O: 0.5000 0.7500 0.2500  2 Pu 2.14
Pu: 0.5000 0.5000 0.0000  6 O 1.98-2.14
O: 0.2694 0.2694 0.0000  1 Pu 1.98
O: 0.2500 0.5000 0.7500  2 Pu 2.14
Mn: 0.0000 0.0000 0.0000  6 O 2.31
Tl: 0.5000 0.0000 0.0000  12 O 3.03-3.04
O: 0.2500 0.7500 0.5000  2 Pu 2.14
Tl: 0.5000 0.5000 0.5000  12 O 3.03-3.04
O: 0.0000 0.2694 0.2694  1 Pu 1.98
O: 0.7500 0.2500 0.5000  2 Pu 2.14
O: 0.2694 0.0000 0.2694  1 Pu 1.98
Pu: 0.0000 0.5000 0.5000  6 O 1.98-2.14
Tl: 0.0000 0.0000 0.5000  12 O 3.03-3.04
O: 0.7306 0.0000 0.7306  1 Pu 1.98
Tl: 0.0000 0.5000 0.0000  12 O 3.03-3.04
O: 0.7500 0.5000 0.2500  2 Pu 2.14

---

[3]
First-principles (GGA+U) data for a relaxed PuMn2Tl2O6 crystal, as listed in Alexandria.

As for the space group: C2/m, No. 12. The calculation puts the density of states at the Fermi level at 7.95 states/eV/cell. Its crystal system is monoclinic. Its total energy is -79.4 eV per cell.

abc: 5.3970 5.3970 7.5810
angles: 102.27 102.27 119.53
Closest atoms and distances in Å follow each position.
Fractional coordinates of all 11 atoms:
O: 0.2652 0.2652 0.3519  2 Mn 2.03, 1 Pu 2.17
Pu: 0.0000 0.0000 0.5000  6 O 2.17-2.19
Tl: 0.1717 0.8283 0.0000  4 O 2.78-2.92, 2 Tl 3.08
Mn: 0.3322 0.6678 0.5000  6 O 2.02-2.05
Tl: 0.8283 0.1717 0.0000  4 O 2.78-2.92, 2 Tl 3.08
O: 0.9028 0.5497 0.3472  2 Mn 2.02-2.05, 1 Pu 2.19
O: 0.7348 0.7348 0.6481  2 Mn 2.03, 1 Pu 2.17
O: 0.0972 0.4503 0.6528  2 Mn 2.02-2.05, 1 Pu 2.19
O: 0.4503 0.0972 0.6528  2 Mn 2.02-2.05, 1 Pu 2.19
O: 0.5497 0.9028 0.3472  2 Mn 2.02-2.05, 1 Pu 2.19
Mn: 0.6678 0.3322 0.5000  6 O 2.02-2.05

---

[4]
First-principles (GGA+U) data for a relaxed PuMnTl2O6 crystal, as listed in Alexandria.

As for the space group: Fm-3m, No. 225. The calculation puts the density of states at the Fermi level at 5.99 states/eV/cell. Its crystal system is cubic. Its total energy is -72.1 eV per cell.

abc: 5.9195 5.9192 5.9193
angles: 60.00 60.00 60.00
Closest atoms and distances in Å follow each position.
Fractional coordinates of all 10 atoms:
Mn: 0.8162 0.8162 0.5515  6 O 2.15-2.16
O: 0.0739 0.5586 0.2940  1 Pu 2.03, 1 Mn 2.16
O: 0.5584 0.0737 0.8091  1 Pu 2.03, 1 Mn 2.16
O: 0.0735 0.5591 0.8088  1 Pu 2.03, 1 Mn 2.15
Pu: 0.3162 0.3162 0.0515  6 O 2.03
Tl: 0.5662 0.5662 0.3015  12 O 2.96
O: 0.5591 0.5586 0.8089  1 Pu 2.03, 1 Mn 2.15
Tl: 0.0662 0.0662 0.8015  12 O 2.96
O: 0.5588 0.0733 0.2942  1 Pu 2.03, 1 Mn 2.15
O: 0.0733 0.0737 0.2942  1 Pu 2.03, 1 Mn 2.15

---

[5]
First-principles (GGA+U) data for a relaxed PuMnTlO4 crystal, as listed in Alexandria.

As for the space group: Imma, No. 74. The calculation puts the density of states at the Fermi level at 12.79 states/eV/cell. Its crystal system is orthorhombic. Its total energy is -115.0 eV per cell.

abc: 6.7806 6.9288 7.0633
angles: 120.64 90.00 119.30
Closest atoms and distances in Å follow each position.
Fractional coordinates of all 14 atoms:
O: 0.3087 0.0121 0.2561  2 Pu 2.22, 1 Mn 2.42
O: 0.6913 0.9879 0.7439  2 Pu 2.22, 1 Mn 2.42
Tl: 0.8550 0.7100 0.1050  4 O 2.53-2.56
O: 0.2966 0.9879 0.7439  2 Pu 2.22, 1 Mn 2.42
O: 0.7034 0.0121 0.2561  2 Pu 2.22, 1 Mn 2.42
O: 0.2872 0.5744 0.7330  1 Pu 2.12, 2 Mn 2.22
O: 0.2872 0.5744 0.3414  1 Pu 2.12, 2 Mn 2.22
Tl: 0.1450 0.2900 0.8950  4 O 2.53-2.56
O: 0.7128 0.4256 0.6586  1 Pu 2.12, 2 Mn 2.22
Mn: 0.5000 0.5000 0.5000  6 O 2.22-2.42
Pu: 0.5000 0.0000 0.5000  6 O 2.12-2.22
Pu: 0.5000 0.0000 0.0000  6 O 2.12-2.22
Mn: 0.0000 0.5000 0.5000  6 O 2.22-2.42
O: 0.7128 0.4256 0.2670  1 Pu 2.12, 2 Mn 2.22

---

[6]
First-principles (GGA+U) data for a relaxed PuUMn2O8 crystal, as listed in Alexandria.

As for the space group: Cmmm, No. 65. The calculation puts the density of states at the Fermi level at 4.47 states/eV/cell. Its crystal system is orthorhombic. Its total energy is -110.0 eV per cell.

abc: 4.7668 4.7667 6.9885
angles: 90.00 90.00 90.55
Closest atoms and distances in Å follow each position.
Fractional coordinates of all 12 atoms:
O: 0.7030 0.7039 0.5000  1 U 1.99, 2 Mn 2.21
O: 0.2921 0.2913 0.0000  1 Pu 1.96
Pu: 0.0000 0.0000 0.0000  6 O 1.96-2.19
O: 0.8088 0.1920 0.7475  1 Mn 2.09, 1 U 2.16, 1 Pu 2.19
O: 0.1912 0.8080 0.2525  1 Mn 2.09, 1 U 2.16, 1 Pu 2.19
Mn: 0.5000 0.5000 0.2517  6 O 2.09-2.25
O: 0.1912 0.8080 0.7475  1 Mn 2.09, 1 U 2.16, 1 Pu 2.19
O: 0.7079 0.7087 0.0000  1 Pu 1.96
U: 0.0000 0.0000 0.5000  6 O 1.99-2.16
Mn: 0.5000 0.5000 0.7483  6 O 2.09-2.25
O: 0.8088 0.1920 0.2525  1 Mn 2.09, 1 U 2.16, 1 Pu 2.19
O: 0.2970 0.2961 0.5000  1 U 1.99, 2 Mn 2.21

---

[7]
First-principles (GGA+U) data for a relaxed PuMnVO6 crystal, as listed in Alexandria.

As for the space group: P-31c, No. 163. The calculation puts the density of states at the Fermi level at 13.86 states/eV/cell. Its crystal system is trigonal. Its total energy is -156.2 eV per cell.

abc: 5.3063 5.3063 9.1563
angles: 90.00 90.00 120.00
Closest atoms and distances in Å follow each position.
Fractional coordinates of all 18 atoms:
O: 0.3418 0.9814 0.6349  1 V 1.96, 1 Pu 2.09
O: 0.6582 0.0186 0.3651  1 V 1.96, 1 Pu 2.09
O: 0.0186 0.6582 0.8651  1 V 1.96, 1 Pu 2.09
O: 0.3604 0.0186 0.1349  1 V 1.96, 1 Pu 2.09
O: 0.6582 0.6396 0.1349  1 V 1.96, 1 Pu 2.09
O: 0.9814 0.3418 0.1349  1 V 1.96, 1 Pu 2.09
O: 0.3418 0.3604 0.8651  1 V 1.96, 1 Pu 2.09
Pu: 0.6667 0.3333 0.7500  6 O 2.09
V: 0.6667 0.3333 0.2500  6 O 1.96
O: 0.6396 0.6582 0.6349  1 V 1.96, 1 Pu 2.09
V: 0.3333 0.6667 0.7500  6 O 1.96
O: 0.6396 0.9814 0.8651  1 V 1.96, 1 Pu 2.09
Mn: 0.0000 0.0000 0.5000  6 O 2.24
O: 0.3604 0.3418 0.3651  1 V 1.96, 1 Pu 2.09
O: 0.0186 0.3604 0.6349  1 V 1.96, 1 Pu 2.09
Pu: 0.3333 0.6667 0.2500  6 O 2.09
O: 0.9814 0.6396 0.3651  1 V 1.96, 1 Pu 2.09
Mn: 0.0000 0.0000 0.0000  6 O 2.24

---

[8]
First-principles (GGA+U) data for a relaxed PuMnWO6 crystal, as listed in Alexandria.

As for the space group: P-31c, No. 163. The calculation puts the density of states at the Fermi level at 8.38 states/eV/cell. Its crystal system is trigonal. Its total energy is -157.2 eV per cell.

abc: 5.5151 5.5151 9.1269
angles: 90.00 90.00 120.00
Closest atoms and distances in Å follow each position.
Fractional coordinates of all 18 atoms:
O: 0.9651 0.3331 0.1326  1 W 1.96
O: 0.9651 0.6320 0.3674  1 W 1.96
O: 0.3680 0.0349 0.1326  1 W 1.96
Mn: 0.0000 0.0000 0.5000  6 O 2.29
Mn: 0.0000 0.0000 0.0000  6 O 2.29
O: 0.6669 0.0349 0.3674  1 W 1.96
O: 0.6320 0.6669 0.6326  1 W 1.96
W: 0.3333 0.6667 0.7500  6 O 1.96
O: 0.6669 0.6320 0.1326  1 W 1.96
O: 0.6320 0.9651 0.8674  1 W 1.96
O: 0.3331 0.9651 0.6326  1 W 1.96
O: 0.0349 0.6669 0.8674  1 W 1.96
O: 0.0349 0.3680 0.6326  1 W 1.96
O: 0.3331 0.3680 0.8674  1 W 1.96
W: 0.6667 0.3333 0.2500  6 O 1.96
O: 0.3680 0.3331 0.3674  1 W 1.96
Pu: 0.6667 0.3333 0.7500  6 O 2.22
Pu: 0.3333 0.6667 0.2500  6 O 2.22

---

[9]
First-principles (GGA+U) data for a relaxed YPuMnO6 crystal, as listed in Alexandria.

As for the space group: P-31c, No. 163. Its crystal system is trigonal. Its total energy is -160.0 eV per cell.

abc: 5.6784 5.6784 8.9732
angles: 90.00 90.00 120.00
Closest atoms and distances in Å follow each position.
Fractional coordinates of all 18 atoms:
O: 0.6727 0.0341 0.3698  1 Pu 2.02
O: 0.3273 0.3614 0.8698  1 Pu 2.02
O: 0.3273 0.9659 0.6302  1 Pu 2.02
O: 0.3614 0.0341 0.1302  1 Pu 2.02
O: 0.3614 0.3273 0.3698  1 Pu 2.02
O: 0.9659 0.6386 0.3698  1 Pu 2.02
O: 0.6727 0.6386 0.1302  1 Pu 2.02
Y: 0.6667 0.3333 0.7500  6 O 2.28
Pu: 0.3333 0.6667 0.7500  6 O 2.02
O: 0.6386 0.6727 0.6302  1 Pu 2.02
Y: 0.3333 0.6667 0.2500  6 O 2.28
Mn: 0.0000 0.0000 0.5000  6 O 2.28
O: 0.9659 0.3273 0.1302  1 Pu 2.02
O: 0.0341 0.6727 0.8698  1 Pu 2.02
O: 0.6386 0.9659 0.8698  1 Pu 2.02
O: 0.0341 0.3614 0.6302  1 Pu 2.02
Mn: 0.0000 0.0000 0.0000  6 O 2.28
Pu: 0.6667 0.3333 0.2500  6 O 2.02

---

- Number 8 is which compound?
  PuMnWO6

---

Repeat the second record exactly.
First-principles (GGA+U) data for a relaxed Pu3MnTl4O12 crystal, as listed in Alexandria.

As for the space group: Im-3m, No. 229. The calculation puts the density of states at the Fermi level at 4.72 states/eV/cell. Its crystal system is cubic. Its total energy is -157.9 eV per cell.

abc: 7.4268 7.4268 7.4268
angles: 109.47 109.47 109.47
Closest atoms and distances in Å follow each position.
Fractional coordinates of all 20 atoms:
O: 0.0000 0.7306 0.7306  1 Pu 1.98
O: 0.7306 0.7306 0.0000  1 Pu 1.98
Pu: 0.5000 0.0000 0.5000  6 O 1.98-2.14
O: 0.5000 0.2500 0.7500  2 Pu 2.14
O: 0.5000 0.7500 0.2500  2 Pu 2.14
Pu: 0.5000 0.5000 0.0000  6 O 1.98-2.14
O: 0.2694 0.2694 0.0000  1 Pu 1.98
O: 0.2500 0.5000 0.7500  2 Pu 2.14
Mn: 0.0000 0.0000 0.0000  6 O 2.31
Tl: 0.5000 0.0000 0.0000  12 O 3.03-3.04
O: 0.2500 0.7500 0.5000  2 Pu 2.14
Tl: 0.5000 0.5000 0.5000  12 O 3.03-3.04
O: 0.0000 0.2694 0.2694  1 Pu 1.98
O: 0.7500 0.2500 0.5000  2 Pu 2.14
O: 0.2694 0.0000 0.2694  1 Pu 1.98
Pu: 0.0000 0.5000 0.5000  6 O 1.98-2.14
Tl: 0.0000 0.0000 0.5000  12 O 3.03-3.04
O: 0.7306 0.0000 0.7306  1 Pu 1.98
Tl: 0.0000 0.5000 0.0000  12 O 3.03-3.04
O: 0.7500 0.5000 0.2500  2 Pu 2.14